A plane-wave DFT calculation with PBE was carried out for a relaxed structure of NaUSe2O8.

Calculated values
The calculation puts the formation energy from raw total energies at -1465 meV/atom. As for the volume: 18.12 Å³ per atom. The calculation puts the density of states at the Fermi level at 3.35 states/eV/f.u. The mass density comes out at 4177 kg/m3.

Geometry as CIF:
```
data_NaUSe2O8
_chemical_formula_sum 'Na1 U1 Se2 O8'
_symmetry_space_group_name_H-M 'P -3 m 1'
_symmetry_Int_Tables_number 164
_symmetry_space_group_name_Hall '-P 3 2"'
_cell_length_a 6.1459
_cell_length_b 6.1459
_cell_length_c 6.6466
_cell_angle_alpha 90.00
_cell_angle_beta 90.00
_cell_angle_gamma 120.00
loop_
_atom_site_label
_atom_site_fract_x
_atom_site_fract_y
_atom_site_fract_z
_atom_site_occupancy
Na1 0.0000 0.0000 0.0000 1
U1 0.0000 0.0000 0.5000 1
Se1 0.3333 0.6667 0.2477 1
O1 0.1531 0.3063 0.3056 1
O2 0.3333 0.6667 0.0028 1
```